Density functional theory data (PBE-GGA) for UFeTc after structural relaxation.

The structure in POSCAR format:
```
UFeTc
1.0
2.345 -3.538 -0.155
-0.906 -3.262 2.565
-1.647 -3.571 -1.606
U Tc Fe
1 1 1
Direct
0.000 0.000 0.000
0.750 0.750 0.750
0.250 0.250 0.250
```

Output
The formation energy from the elements comes out at 0.5860 eV per atom. The value obtained for the electronic total energy is -9.40 eV/atom. As for the calculated volume: 54 Å³/f.u. The relative energy among the computed polymorphs comes out at 248.7 meV/atom. For the total moment, the calculation gives 0.230 μB per atom.